1.
A crystal of GaBiAu2 relaxed with PBEsol, computed with meta-GGA SCAN.

Results
space group = Fm-3m (225)
energy relative to the elements = 0.15 eV per atom
E = -232.64 eV for the cell shown

abc: 4.876 4.876 4.876
angles: 60.00 60.00 60.00
Fractional positions:
Ga (0.000, 0.000, 0.000)
Bi (0.500, 0.500, 0.500)
Au (0.250, 0.250, 0.250)
Au (0.750, 0.750, 0.750)

***

2.
A crystal of Ge2BiAu2 relaxed with PBEsol, computed with meta-GGA SCAN.

Results
space group = I4/mmm (139)
energy relative to the elements = 0.05 eV per atom
E = -254.81 eV for the cell shown

abc: 6.747 6.747 6.747
angles: 144.40 144.40 51.22
Fractional positions:
Ge (0.250, 0.750, 0.500)
Ge (0.750, 0.250, 0.500)
Bi (0.000, 0.000, 0.000)
Au (0.389, 0.389, 0.000)
Au (0.611, 0.611, 0.000)